Computed, not measured: a relaxed structure of Ta2NiCl at the PBE level of DFT.

Cell and atoms, written as extended XYZ:
```
4
Lattice="-1.8430 1.8430 4.6961 1.8430 -1.8430 4.6961 1.8430 1.8430 -4.6961" Properties=species:S:1:pos:R:3 pbc="T T T"
Ta 0.0000 0.0000 0.0000
Ta 0.0000 1.8430 2.3481
Ni 0.0000 0.0000 4.6961
Cl 1.8430 0.0000 2.3481
```

Values from the calculation:
calculated total energy	-7.199	eV/atom
uncorrected formation energy	0.63	eV/atom
energy above the lowest structure with this stoichiometry	0.667	eV per atom
density of states at the Fermi level	5.095	states/eV/cell

=====

Computed, not measured: a relaxed structure of Ta4NiCl2 at the PBE level of DFT.

Cell and atoms, written as extended XYZ:
```
7
Lattice="-2.2931 2.2931 6.2943 2.2931 -2.2931 6.2943 2.2931 2.2931 -6.2943" Properties=species:S:1:pos:R:3 pbc="T T T"
Ta 2.2931 0.0000 0.0000
Ta 0.0000 0.0000 2.5562
Ta 0.0000 2.2931 0.0000
Ta 0.0000 0.0000 10.0323
Ni 0.0000 0.0000 0.0000
Cl 0.0000 0.0000 4.9690
Cl 0.0000 0.0000 7.6196
```

Values from the calculation:
calculated total energy	-7.183	eV/atom
uncorrected formation energy	0.94	eV/atom
density of states at the Fermi level	6.633	states/eV/cell

=====

Computed, not measured: a relaxed structure of TaNiCl3 at the PBE level of DFT.

Cell and atoms, written as extended XYZ:
```
5
Lattice="4.8393 0.0000 0.0000 0.0000 4.8393 0.0000 0.0000 0.0000 4.8393" Properties=species:S:1:pos:R:3 pbc="T T T"
Ta 0.0000 0.0000 0.0000
Ni 2.4197 2.4197 2.4197
Cl 0.0000 0.0000 2.4197
Cl 0.0000 2.4197 0.0000
Cl 2.4197 0.0000 0.0000
```

Values from the calculation:
calculated total energy	-4.400	eV/atom
uncorrected formation energy	0.23	eV/atom
energy above the lowest structure with this stoichiometry	0.000	eV per atom
density of states at the Fermi level	20.551	states/eV/cell

=====

Computed, not measured: a relaxed structure of Ta2NiCl at the PBE level of DFT.

Cell and atoms, written as extended XYZ:
```
4
Lattice="2.9857 0.0000 0.0000 0.0000 4.2386 0.0000 0.0000 0.0000 5.2303" Properties=species:S:1:pos:R:3 pbc="T T T"
Ta 0.0000 0.0000 0.0000
Ta 1.4928 0.0000 2.6151
Ni 0.0000 2.1193 2.6151
Cl 1.4928 2.1193 0.0000
```

Values from the calculation:
calculated total energy	-7.329	eV/atom
uncorrected formation energy	0.50	eV/atom
energy above the lowest structure with this stoichiometry	0.537	eV per atom
density of states at the Fermi level	4.303	states/eV/cell

=====

Computed, not measured: a relaxed structure of TaNi2Cl at the PBE level of DFT.

Cell and atoms, written as extended XYZ:
```
4
Lattice="-1.4246 2.2650 4.4829 1.4246 -2.2650 4.4829 1.4246 2.2650 -4.4829" Properties=species:S:1:pos:R:3 pbc="T T T"
Ta 0.0000 0.0000 0.0000
Ni 0.0000 0.0000 4.3596
Ni 0.0000 2.2650 2.0934
Cl 1.4246 0.0000 2.0427
```

Values from the calculation:
calculated total energy	-5.957	eV/atom
uncorrected formation energy	0.36	eV/atom
energy above the lowest structure with this stoichiometry	0.427	eV per atom
density of states at the Fermi level	3.870	states/eV/cell

=====

Computed, not measured: a relaxed structure of Ta2NiCl at the PBE level of DFT.

Cell and atoms, written as extended XYZ:
```
4
Lattice="-1.4788 2.5586 4.3313 1.4788 -2.5586 4.3313 1.4788 2.5586 -4.3313" Properties=species:S:1:pos:R:3 pbc="T T T"
Ta 0.0000 0.0000 2.0804
Ta 0.0000 0.0000 6.5822
Ni 0.0000 2.5586 0.0000
Cl 1.4788 0.0000 0.0000
```

Values from the calculation:
calculated total energy	-7.373	eV/atom
uncorrected formation energy	0.46	eV/atom
energy above the lowest structure with this stoichiometry	0.493	eV per atom
density of states at the Fermi level	4.523	states/eV/cell

=====

Computed, not measured: a relaxed structure of TaNiCl2 at the PBE level of DFT.

Cell and atoms, written as extended XYZ:
```
4
Lattice="2.8646 -4.0939 0.0000 2.8646 4.0939 0.0000 -1.2503 0.0000 2.7867" Properties=species:S:1:pos:R:3 pbc="T T T"
Ta 0.0000 0.0000 0.0000
Ni 2.8646 0.0000 0.0000
Cl 1.4323 2.0470 0.0000
Cl 1.4323 -2.0470 0.0000
```

Values from the calculation:
calculated total energy	-5.132	eV/atom
uncorrected formation energy	0.20	eV/atom
energy above the lowest structure with this stoichiometry	0.746	eV per atom
density of states at the Fermi level	3.183	states/eV/cell

=====

Computed, not measured: a relaxed structure of TaNi2Cl at the PBE level of DFT.

Cell and atoms, written as extended XYZ:
```
4
Lattice="2.4402 -4.0267 0.0000 2.4402 4.0267 0.0000 0.0000 0.0000 2.9259" Properties=species:S:1:pos:R:3 pbc="T T T"
Ta 0.0000 0.0000 0.0000
Ni 1.2201 2.0134 1.4630
Ni 1.2201 -2.0134 1.4630
Cl 2.4402 0.0000 0.0000
```

Values from the calculation:
calculated total energy	-5.962	eV/atom
uncorrected formation energy	0.35	eV/atom
energy above the lowest structure with this stoichiometry	0.422	eV per atom
density of states at the Fermi level	4.725	states/eV/cell